1.
This record from the Alexandria database describes a geometry-optimized LiDy5Co2 structure. The functional is PBE-GGA.

a b c (Å): 7.6447 7.6447 13.2275
angles (deg): 90.00 90.00 90.00
Last column: nearest neighbours and their distance in Å.
Space group I4/mcm (No. 140)
Asymmetric unit:
1 Li 0.0000 0.0000 0.2500  10 Dy 3.29-3.31
2 Dy 0.0000 0.0000 0.0000  4 Co 2.95
3 Dy 0.1567 0.3433 0.1309  3 Co 2.79-2.86
4 Co 0.1409 0.3591 0.5000  8 Dy 2.79-2.95, 1 Co 3.05

Summary:
DFT formation energy = -98 meV per atom
Final energy = -4.99 eV per atom
Magnetic moment = 0.00 μB/cell

=====

2.
This record from the Alexandria database describes a geometry-optimized LiDy2Co structure. The functional is PBE-GGA.

a b c (Å): 3.8307 3.8307 24.5623
angles (deg): 90.00 90.00 120.00
Last column: nearest neighbours and their distance in Å.
Space group R3m (No. 160, hexagonal axes)
Asymmetric unit:
1 Li 0.0000 0.0000 0.0000  6 Dy 3.41-3.49
2 Dy 0.0000 0.0000 0.5565  3 Co 2.65
3 Dy 0.0000 0.0000 0.7723  3 Co 2.64
4 Co 0.0000 0.0000 0.1641  6 Dy 2.64-2.65

Summary:
DFT formation energy = -13 meV per atom
Final energy = -4.57 eV per atom
Magnetic moment = 0.00 μB/cell

=====

3.
This record from the Alexandria database describes a geometry-optimized LiDyCo4 structure. The functional is PBE-GGA.

a b c (Å): 6.9668 6.9668 6.9668
angles (deg): 90.00 90.00 90.00
Last column: nearest neighbours and their distance in Å.
Space group F-43m (No. 216)
Asymmetric unit:
1 Li 0.0000 0.0000 0.0000  12 Co 2.89, 4 Dy 3.02
2 Dy 0.2500 0.2500 0.2500  12 Co 2.89, 4 Li 3.02
3 Co 0.1255 0.1255 0.6255  6 Co 2.45-2.47

Summary:
DFT formation energy = -74 meV per atom
Final energy = -5.90 eV per atom
Magnetic moment = 22.18 μB/cell

=====

4.
This record from the Alexandria database describes a geometry-optimized LiDy8Co2 structure. The functional is PBE-GGA.

a b c (Å): 8.3957 12.9296 5.5698
angles (deg): 90.00 103.31 90.00
Last column: nearest neighbours and their distance in Å.
Space group Cm (No. 8)
Asymmetric unit:
1 Li 0.0000 0.0000 0.0000  4 Dy 3.22
2 Dy 0.0008 0.2489 0.9995  2 Co 2.87
3 Dy 0.1090 0.5000 0.7949  2 Co 3.06, 1 Li 3.22, 4 Dy 3.23-3.38
4 Dy 0.2042 0.1315 0.5815  2 Co 2.77
5 Dy 0.2972 0.3686 0.4177  2 Co 2.77
6 Dy 0.3916 0.0000 0.2035  2 Co 3.06, 1 Li 3.22, 4 Dy 3.23-3.38
7 Co 0.0006 0.3024 0.4994  8 Dy 2.77-3.06

Summary:
DFT formation energy = 8 meV per atom
Final energy = -4.80 eV per atom
Magnetic moment = 0.00 μB/cell